(1)
Compound: HfBeRh
Source: the Alexandria database
Functional: PBE-GGA
Structure: optimized geometry

Output
Energy relative to the elements ... -0.505 eV per atom
DOS(E_F) ... 5.21 states/eV per cell
Mass density ... 11.153 g cm⁻³
Polymorph energy (0 for the lowest one) ... 19.3 kJ per mole of atoms

a b c (Å): 3.0093 3.0093 9.5490
angles (deg): 90.00 90.00 90.00
Space group I4mm (No. 107)
One atom of each set of equivalent atoms:
1 Hf 0.0000 0.0000 0.0000
2 Be 0.0000 0.0000 0.3070
3 Rh 0.0000 0.0000 0.6979

---

(2)
Compound: Pr3Sn5H12
Source: the Alexandria database
Functional: PBE-GGA
Structure: optimized geometry

Output
DOS(E_F) ... 64.22 states/eV per cell
Mass density ... 5.750 g cm⁻³

a b c (Å): 13.3437 13.3437 13.3437
angles (deg): 90.00 90.00 90.00
Space group Ia-3d (No. 230)
One atom of each set of equivalent atoms:
1 Pr 0.0000 0.2500 0.1250
2 Sn 0.0000 0.0000 0.0000
3 Sn 0.0000 0.2500 0.3750
4 H 0.0005 0.0765 0.6533

---

(3)
Compound: CdInAg2
Source: the Alexandria database
Functional: PBE-GGA
Structure: optimized geometry

Output
Energy relative to the elements ... 0.132 eV per atom
DOS(E_F) ... 2.65 states/eV per cell
Mass density ... 7.809 g cm⁻³

a b c (Å): 4.1244 4.1244 19.1812
angles (deg): 90.00 90.00 120.00
Space group R3m (No. 160, hexagonal axes)
One atom of each set of equivalent atoms:
1 Cd 0.0000 0.0000 0.0000
2 In 0.0000 0.0000 0.1705
3 Ag 0.0000 0.0000 0.5867
4 Ag 0.0000 0.0000 0.7499

---

(4)
Compound: Mg12TlCd6
Source: the Alexandria database
Functional: PBE-GGA
Structure: optimized geometry

Output
Energy relative to the elements ... 0.002 eV per atom
DOS(E_F) ... 25.36 states/eV per cell
Mass density ... 4.343 g cm⁻³
Polymorph energy (0 for the lowest one) ... 6.5 kJ per mole of atoms

a b c (Å): 12.8888 12.8888 9.3325
angles (deg): 90.00 90.00 120.00
Space group R-3 (No. 148, hexagonal axes)
One atom of each set of equivalent atoms:
1 Mg 0.0555 0.2448 0.0797
2 Mg 0.0611 0.2260 0.4159
3 Tl 0.0000 0.0000 0.0000
4 Cd 0.0552 0.2248 0.7466

---

(5)
Compound: CdSnBr3
Source: the Alexandria database
Functional: PBE-GGA
Structure: optimized geometry

Output
DOS(E_F) ... 0.00 states/eV per cell
Mass density ... 4.126 g cm⁻³
Formation energy (no corrections) ... -0.6426 eV/atom

a b c (Å): 12.5001 4.8484 12.7928
angles (deg): 90.00 102.13 90.00
Space group C2/m (No. 12)
One atom of each set of equivalent atoms:
1 Cd 0.0813 0.0000 0.4461
2 Sn 0.1795 0.5000 0.8272
3 Br 0.0342 0.5000 0.2805
4 Br 0.1281 0.0000 0.9316
5 Br 0.2194 0.5000 0.6034

---

(6)
Compound: Pm3GaRh2
Source: the Alexandria database
Functional: PBE-GGA
Structure: optimized geometry

Output
Energy relative to the elements ... -0.637 eV per atom
DOS(E_F) ... 3.76 states/eV per cell
Mass density ... 8.642 g cm⁻³
Polymorph energy (0 for the lowest one) ... 3.3 kJ per mole of atoms

a b c (Å): 3.6122 3.6122 10.4635
angles (deg): 90.00 90.00 90.00
Space group P4/mmm (No. 123)
One atom of each set of equivalent atoms:
1 Pm 0.0000 0.0000 0.0000
2 Pm 0.0000 0.0000 0.3223
3 Ga 0.5000 0.5000 0.5000
4 Rh 0.5000 0.5000 0.1653

---

(7)
Compound: TbErSbS
Source: the Alexandria database
Functional: PBE-GGA
Structure: optimized geometry

Output
DOS(E_F) ... 6.41 states/eV per cell
Mass density ... 7.712 g cm⁻³
Formation energy (no corrections) ... -1.3605 eV/atom

a b c (Å): 4.0407 4.0407 21.9270
angles (deg): 90.00 90.00 120.00
Space group R3m (No. 160, hexagonal axes)
One atom of each set of equivalent atoms:
1 Tb 0.0000 0.0000 0.0000
2 Er 0.0000 0.0000 0.1612
3 Sb 0.0000 0.0000 0.5786
4 S 0.0000 0.0000 0.7509

---

(8)
Compound: La14ErPu
Source: the Alexandria database
Functional: PBE-GGA
Structure: optimized geometry

Output
Energy relative to the elements ... 0.031 eV per atom
DOS(E_F) ... 61.41 states/eV per cell
Mass density ... 6.915 g cm⁻³

a b c (Å): 10.4258 10.4205 10.4156
angles (deg): 90.00 90.00 90.00
Space group Amm2 (No. 38)
One atom of each set of equivalent atoms:
1 La 0.0000 0.0000 0.0000
2 La 0.0000 0.0000 0.4978
3 La 0.0000 0.2435 0.2487
4 La 0.2485 0.0000 0.7473
5 La 0.2571 0.2468 0.4989
6 La 0.2652 0.0000 0.2535
7 La 0.5000 0.2421 0.7469
8 Er 0.5000 0.0000 0.9977
9 Pu 0.5000 0.0000 0.4997

---

(9)
Compound: K4TlIr
Source: the Alexandria database
Functional: PBE-GGA
Structure: optimized geometry

Output
Energy relative to the elements ... 0.838 eV per atom
DOS(E_F) ... 19.14 states/eV per cell
Mass density ... 4.438 g cm⁻³

a b c (Å): 9.3892 9.3892 9.3892
angles (deg): 90.00 90.00 90.00
Space group F-43m (No. 216)
One atom of each set of equivalent atoms:
1 K 0.1232 0.1232 0.3768
2 Tl 0.0000 0.0000 0.0000
3 Ir 0.2500 0.2500 0.7500

---

(10)
Compound: HfTh2Ni9
Source: the Alexandria database
Functional: PBE-GGA
Structure: optimized geometry

Output
Energy relative to the elements ... -0.373 eV per atom
DOS(E_F) ... 23.34 states/eV per cell
Mass density ... 11.113 g cm⁻³

a b c (Å): 4.9123 4.9123 25.1133
angles (deg): 90.00 90.00 120.00
Space group R-3m (No. 166, hexagonal axes)
One atom of each set of equivalent atoms:
1 Hf 0.0000 0.0000 0.0000
2 Th 0.0000 0.0000 0.1340
3 Ni 0.0000 0.0000 0.3332
4 Ni 0.0000 0.0000 0.5000
5 Ni 0.9995 0.4998 0.0796

---

(11)
Compound: Eu2LuAu
Source: the Alexandria database
Functional: PBE-GGA
Structure: optimized geometry

Output
Energy relative to the elements ... -0.303 eV per atom
DOS(E_F) ... 3.87 states/eV per cell
Mass density ... 9.090 g cm⁻³
Polymorph energy (0 for the lowest one) ... 0.0 kJ per mole of atoms

a b c (Å): 3.7346 3.7346 8.8523
angles (deg): 90.00 90.00 90.00
Space group P4/mmm (No. 123)
One atom of each set of equivalent atoms:
1 Eu 0.0000 0.0000 0.2049
2 Lu 0.5000 0.5000 0.5000
3 Au 0.5000 0.5000 0.0000

---

(12)
Compound: Ac8Ni3GeCl4
Source: the Alexandria database
Functional: PBE-GGA
Structure: optimized geometry

Output
DOS(E_F) ... 44.48 states/eV per cell
Mass density ... 7.142 g cm⁻³
Formation energy (no corrections) ... -0.9617 eV/atom

a b c (Å): 8.7938 8.7938 22.9812
angles (deg): 90.00 90.00 120.00
Space group R-3m (No. 166, hexagonal axes)
One atom of each set of equivalent atoms:
1 Ac 0.0000 0.0000 0.2358
2 Ac 0.0130 0.5065 0.7628
3 Ni 0.0000 0.5000 0.5000
4 Ge 0.0000 0.0000 0.5000
5 Cl 0.0000 0.0000 0.0000
6 Cl 0.0000 0.5000 0.0000

---

(13)
Compound: ScRhS3
Source: the Alexandria database
Functional: PBE-GGA
Structure: optimized geometry

Output
DOS(E_F) ... 5.17 states/eV per cell
Mass density ... 4.148 g cm⁻³
Formation energy (no corrections) ... -0.2737 eV/atom
Polymorph energy (0 for the lowest one) ... 0.0 kJ per mole of atoms

a b c (Å): 4.6059 4.6059 4.6059
angles (deg): 90.00 90.00 90.00
Space group Pm-3m (No. 221)
One atom of each set of equivalent atoms:
1 Sc 0.0000 0.0000 0.0000
2 Rh 0.5000 0.5000 0.5000
3 S 0.0000 0.5000 0.5000

---

(14)
Compound: Y3MoRu
Source: the Alexandria database
Functional: PBE-GGA
Structure: optimized geometry

Output
Energy relative to the elements ... 0.553 eV per atom
DOS(E_F) ... 3.82 states/eV per cell
Mass density ... 5.193 g cm⁻³
Polymorph energy (0 for the lowest one) ... 0.0 kJ per mole of atoms

a b c (Å): 5.2928 5.2928 5.2928
angles (deg): 90.00 90.00 90.00
Space group Pm-3m (No. 221)
One atom of each set of equivalent atoms:
1 Y 0.0000 0.0000 0.5000
2 Mo 0.5000 0.5000 0.5000
3 Ru 0.0000 0.0000 0.0000

---

(15)
Compound: BeFeCu2
Source: the Alexandria database
Functional: PBE-GGA
Structure: optimized geometry

Output
Energy relative to the elements ... 0.084 eV per atom
DOS(E_F) ... 6.02 states/eV per cell
Mass density ... 7.285 g cm⁻³

a b c (Å): 2.4969 2.4969 24.3092
angles (deg): 90.00 90.00 120.00
Space group R-3m (No. 166, hexagonal axes)
One atom of each set of equivalent atoms:
1 Be 0.0000 0.0000 0.0000
2 Fe 0.0000 0.0000 0.5000
3 Cu 0.0000 0.0000 0.2556

---

(16)
Compound: Ce3PrNd2Sb6
Source: the Alexandria database
Functional: PBE-GGA
Structure: optimized geometry

Output
DOS(E_F) ... 39.60 states/eV per cell
Mass density ... 6.706 g cm⁻³
Formation energy (no corrections) ... -1.1210 eV/atom

a b c (Å): 7.8248 13.5507 7.8283
angles (deg): 90.00 109.46 90.00
Space group C2/m (No. 12)
One atom of each set of equivalent atoms:
1 Ce 0.0000 0.0000 0.0000
2 Ce 0.0000 0.3338 0.0000
3 Pr 0.0000 0.5000 0.5000
4 Nd 0.0000 0.1668 0.5000
5 Sb 0.2481 0.1672 0.2459
6 Sb 0.2501 0.0000 0.7536

---

(17)
Compound: HfTcAs
Source: the Alexandria database
Functional: PBE-GGA
Structure: optimized geometry

Output
Energy relative to the elements ... -0.504 eV per atom
DOS(E_F) ... 0.50 states/eV per cell
Mass density ... 11.052 g cm⁻³
Polymorph energy (0 for the lowest one) ... 23.7 kJ per mole of atoms

a b c (Å): 3.1751 3.2428 10.2563
angles (deg): 90.00 90.00 90.00
Space group Amm2 (No. 38)
One atom of each set of equivalent atoms:
1 Hf 0.0000 0.0000 0.0000
2 Tc 0.5000 0.0000 0.6769
3 As 0.0000 0.0000 0.2902

---

(18)
Compound: TlAsSe3
Source: the Alexandria database
Functional: PBE-GGA
Structure: optimized geometry

Output
Mass density ... 5.440 g cm⁻³
Formation energy (no corrections) ... -0.1842 eV/atom
Polymorph energy (0 for the lowest one) ... 0.0 kJ per mole of atoms

a b c (Å): 4.9531 8.4001 7.7331
angles (deg): 90.00 101.66 90.00
Space group P2_1 (No. 4)
One atom of each set of equivalent atoms:
1 Tl 0.0217 0.0000 0.1544
2 As 0.2815 0.0363 0.7502
3 Se 0.0938 0.6788 0.4597
4 Se 0.4225 0.4735 0.4691
5 Se 0.4917 0.7362 0.0678

---

(19)
Compound: IrPtF3
Source: the Alexandria database
Functional: PBE-GGA
Structure: optimized geometry

Output
DOS(E_F) ... 17.45 states/eV per cell
Mass density ... 10.038 g cm⁻³
Formation energy (no corrections) ... 0.1163 eV/atom
Polymorph energy (0 for the lowest one) ... 0.0 kJ per mole of atoms

a b c (Å): 4.1889 4.1889 4.1889
angles (deg): 90.00 90.00 90.00
Space group Pm-3m (No. 221)
One atom of each set of equivalent atoms:
1 Ir 0.0000 0.0000 0.0000
2 Pt 0.5000 0.5000 0.5000
3 F 0.0000 0.0000 0.5000

---

(20)
Compound: CaTaIn2
Source: the Alexandria database
Functional: PBE-GGA
Structure: optimized geometry

Output
Energy relative to the elements ... 0.323 eV per atom
DOS(E_F) ... 7.88 states/eV per cell
Mass density ... 7.660 g cm⁻³

a b c (Å): 3.3929 5.5474 10.3818
angles (deg): 90.00 90.00 90.00
Space group Immm (No. 71)
One atom of each set of equivalent atoms:
1 Ca 0.0000 0.0000 0.0000
2 Ta 0.0000 0.0000 0.5000
3 In 0.0000 0.5000 0.2305

---

Table of magnetization (μB/atom), in record order: 0.0001, 0.0000, 0.0000, 0.0000, 0.0000, 0.0000, 0.1242, 0.4267, 0.0001, 0.0000, 3.7273, 0.0000, 0.0000, 0.7737, 0.5360, 0.1937, 0.0000, 0.0000, 0.0994, 0.0002
Table of energy (eV per atom), in record order: -7.5158, -3.6586, -2.2070, -1.4183, -2.6300, -5.9677, -5.7212, -5.4615, -1.7648, -6.7750, -7.3901, -4.8502, -5.4868, -7.3466, -5.0113, -5.8586, -8.8272, -3.6781, -3.9868, -4.5096